Record 1
KTcF3 (PBE-GGA, relaxed); ρ = 3.26 Mg/m³; space group = Pm-3m, No. 221; formation energy (no corrections) = -3.87 eV/f.u.; total magnetic moment = 5.0 μB per formula unit; ΔE to the lowest computed polymorph = 960 meV/atom; Fermi-level density of states = 0.0 states/eV/f.u.
1.0
-1.439 3.666 2.419
-0.158 -2.587 3.826
4.389 1.108 0.931
K Tc F
1 1 3
Cartesian
0.000 0.000 0.000
1.396 1.093 3.588
-0.079 -1.294 1.913
2.195 0.554 0.466
-0.719 1.833 1.210



Record 2
La4Ag3Pd (PBE-GGA, relaxed); ρ = 7.53 Mg/m³; space group = P4/mmm, No. 123; total magnetic moment = 0.0 μB per formula unit; ΔE to the lowest computed polymorph = 8 meV/atom; Fermi-level density of states = 8.6 states/eV/f.u.; ΔE_f = -0.381 eV/atom
1.0
-1.481 -3.274 -1.175
1.955 0.273 -3.224
11.568 -7.521 6.380
Pd Ag La
1 3 4
Cartesian
0.237 -1.501 -2.200
3.082 -3.351 -0.631
6.021 -5.261 0.990
8.960 -7.172 2.611
10.244 -6.661 5.649
1.324 -0.861 0.730
4.304 -2.798 2.374
7.264 -4.723 4.006



Record 3
RbMg6B (PBE-GGA, relaxed); ρ = 1.86 Mg/m³; space group = Amm2, No. 38; total magnetic moment = 0.0 μB per formula unit; Fermi-level density of states = 2.2 states/eV/f.u.; ΔE_f = 0.373 eV/atom
1.0
-7.012 3.531 3.358
6.309 -3.645 4.453
1.709 3.202 0.200
Rb Mg B
1 6 1
Cartesian
-3.291 3.588 3.694
-0.530 1.950 6.328
-0.100 2.020 1.549
0.727 -0.723 5.352
0.970 -0.684 2.656
-1.433 0.526 3.817
3.511 -2.137 4.223
0.748 1.412 4.026



Record 4
TlZn2Cl (PBE-GGA, relaxed); ρ = 6.06 Mg/m³; space group = Pmmm, No. 47; formation energy (no corrections) = -0.12 eV/f.u.; total magnetic moment = 0.0 μB per formula unit; ΔE to the lowest computed polymorph = 205 meV/atom; Fermi-level density of states = 0.9 states/eV/f.u.
1.0
-1.706 3.018 0.649
-4.127 -2.047 -1.326
-0.950 -1.753 5.661
Cl Tl Zn
1 1 2
Cartesian
-3.154 0.047 1.076
-3.629 -0.830 3.907
-0.031 -0.057 0.185
-0.444 -0.819 2.646



Record 5
Sn4Sb3I (PBE-GGA, relaxed); ρ = 6.34 Mg/m³; space group = Amm2, No. 38; formation energy (no corrections) = -0.30 eV/f.u.; total magnetic moment = 0.0 μB per formula unit; Fermi-level density of states = 3.9 states/eV/f.u.
1.0
-3.054 3.110 -0.832
-3.636 -1.791 6.662
2.811 4.322 5.850
I Sb Sn
1 3 4
Cartesian
-0.536 4.979 8.765
-0.124 3.714 2.510
-0.243 7.432 5.019
-3.466 4.375 5.424
-0.756 1.769 9.402
-3.558 1.329 6.215
-3.125 3.870 2.280
-0.313 4.317 5.465



Record 6
AlRhSe2Br (PBE-GGA, relaxed); ρ = 4.88 Mg/m³; space group = P4/mmm, No. 123; formation energy (no corrections) = 1.16 eV/f.u.; total magnetic moment = 0.9 μB per formula unit; ΔE to the lowest computed polymorph = 0 meV/atom; Fermi-level density of states = 6.8 states/eV/f.u.
1.0
-4.489 -0.567 -1.840
0.538 -4.851 0.182
-1.984 -0.039 4.850
Rh Se Br Al
1 2 1 1
Cartesian
0.000 0.000 0.000
0.269 -2.426 0.091
-2.244 -0.283 -0.920
-0.992 -0.019 2.425
-2.967 -2.728 1.596



Record 7
Dy2YHo5Tm (PBE-GGA, relaxed); ρ = 8.13 Mg/m³; space group = I4/mcm, No. 140; total magnetic moment = 0.0 μB per formula unit; Fermi-level density of states = 11.3 states/eV/f.u.; ΔE_f = 0.304 eV/atom
1.0
-5.034 4.444 -5.819
-0.391 -7.215 -5.172
-3.278 -0.806 9.004
Dy Y Ho Tm
4 2 10 2
Cartesian
-0.718 -2.295 -2.659
-3.128 1.910 -4.146
-2.298 -4.681 -6.844
-4.707 -0.475 -8.332
-2.995 -1.095 1.755
-5.708 -2.480 -3.741
-5.704 0.825 -5.217
-5.804 1.181 1.926
-2.998 -4.401 3.231
-3.252 -0.397 5.297
-5.550 -2.823 -0.140
-5.450 -3.179 -7.283
-3.152 -0.753 -1.846
-2.898 -4.757 -3.912
-2.713 -1.385 -5.495
0.000 0.000 0.000
-3.191 -4.703 -0.831
-5.512 1.127 -1.155



Record 8
HoTiAgPd (PBE-GGA, relaxed); ρ = 9.00 Mg/m³; space group = F-43m, No. 216; total magnetic moment = 1.4 μB per formula unit; Fermi-level density of states = 5.0 states/eV/f.u.; ΔE_f = -0.287 eV/atom
1.0
4.812 0.000 0.000
2.406 4.167 0.000
2.406 1.389 3.929
Pd Ho Ag Ti
1 1 1 1
Cartesian
2.406 1.389 0.982
0.000 0.000 0.000
7.218 4.167 2.947
4.812 2.778 1.964



Question: Number 4 is which compound?
Answer: TlZn2Cl



Question: What is the formula in the sixth record?
Answer: AlRhSe2Br



Repeat the seventh record exactly.
Dy2YHo5Tm (PBE-GGA, relaxed); ρ = 8.13 Mg/m³; space group = I4/mcm, No. 140; total magnetic moment = 0.0 μB per formula unit; Fermi-level density of states = 11.3 states/eV/f.u.; ΔE_f = 0.304 eV/atom
1.0
-5.034 4.444 -5.819
-0.391 -7.215 -5.172
-3.278 -0.806 9.004
Dy Y Ho Tm
4 2 10 2
Cartesian
-0.718 -2.295 -2.659
-3.128 1.910 -4.146
-2.298 -4.681 -6.844
-4.707 -0.475 -8.332
-2.995 -1.095 1.755
-5.708 -2.480 -3.741
-5.704 0.825 -5.217
-5.804 1.181 1.926
-2.998 -4.401 3.231
-3.252 -0.397 5.297
-5.550 -2.823 -0.140
-5.450 -3.179 -7.283
-3.152 -0.753 -1.846
-2.898 -4.757 -3.912
-2.713 -1.385 -5.495
0.000 0.000 0.000
-3.191 -4.703 -0.831
-5.512 1.127 -1.155